Entry 1:
The following is a PBE-GGA calculation of an optimized crystal structure of Er5TmAs6, from Alexandria via LeMat-Bulk.

Values from the calculation:
symmetry: No. 12
formation enthalpy at 0 K: -1.518 eV per atom
crystal system: monoclinic

abc: 7.066 7.066 7.065
angles: 99.60 99.60 119.98
Fractional positions:
Er  0.000  0.000  0.000
Er  0.167  0.833  0.500
Er  0.333  0.667  0.000
Er  0.667  0.333  0.000
Er  0.833  0.167  0.500
Tm  0.500  0.500  0.500
As  0.084  0.417  0.250
As  0.251  0.251  0.750
As  0.417  0.084  0.250
As  0.583  0.916  0.750
As  0.749  0.749  0.250
As  0.916  0.583  0.750

***

Entry 2:
The following is a PBE-GGA calculation of an optimized crystal structure of Er2TmUAs4, from Alexandria via LeMat-Bulk.

Values from the calculation:
symmetry: No. 10
formation enthalpy at 0 K: -1.311 eV per atom
crystal system: monoclinic

abc: 7.056 4.062 7.057
angles: 90.00 109.21 90.00
Fractional positions:
Er  0.000  0.000  0.000
Er  0.500  0.500  0.000
Tm  0.000  0.500  0.500
U  0.500  0.000  0.500
As  0.250  0.500  0.251
As  0.251  0.000  0.747
As  0.749  0.000  0.253
As  0.750  0.500  0.749

***

Entry 3:
The following is a PBE-GGA calculation of an optimized crystal structure of Y2Er3TmAs6, from Alexandria via LeMat-Bulk.

Values from the calculation:
symmetry: No. 12
formation enthalpy at 0 K: -1.529 eV per atom
crystal system: monoclinic

abc: 9.150 9.150 8.184
angles: 102.89 102.89 25.85
Fractional positions:
Y  0.166  0.166  0.333
Y  0.834  0.834  0.667
Er  0.167  0.167  0.833
Er  0.500  0.500  0.500
Er  0.833  0.833  0.167
Tm  0.500  0.500  0.000
As  0.001  0.001  0.751
As  0.334  0.334  0.415
As  0.334  0.334  0.919
As  0.666  0.666  0.081
As  0.666  0.666  0.585
As  0.999  0.999  0.249

***

Entry 4:
The following is a PBE-GGA calculation of an optimized crystal structure of YErTm2As4, from Alexandria via LeMat-Bulk.

Values from the calculation:
symmetry: No. 10
formation enthalpy at 0 K: -1.522 eV per atom
crystal system: monoclinic

abc: 7.071 4.084 7.071
angles: 90.00 109.46 90.00
Fractional positions:
Y  0.000  0.000  0.000
Er  0.000  0.500  0.500
Tm  0.500  0.000  0.500
Tm  0.500  0.500  0.000
As  0.252  0.000  0.749
As  0.253  0.500  0.252
As  0.747  0.500  0.748
As  0.748  0.000  0.251

***

Entry 5:
The following is a PBE-GGA calculation of an optimized crystal structure of Y3Er2TmAs6, from Alexandria via LeMat-Bulk.

Values from the calculation:
symmetry: No. 12
formation enthalpy at 0 K: -1.536 eV per atom
crystal system: monoclinic

abc: 7.101 7.101 7.100
angles: 99.58 99.58 119.99
Fractional positions:
Y  0.000  0.000  0.000
Y  0.333  0.667  0.000
Y  0.667  0.333  0.000
Er  0.167  0.833  0.500
Er  0.833  0.167  0.500
Tm  0.500  0.500  0.500
As  0.085  0.418  0.253
As  0.250  0.250  0.747
As  0.418  0.085  0.253
As  0.582  0.915  0.747
As  0.750  0.750  0.253
As  0.915  0.582  0.747

***

Entry 6:
The following is a PBE-GGA calculation of an optimized crystal structure of YEr2TmAs4, from Alexandria via LeMat-Bulk.

Values from the calculation:
symmetry: No. 10
formation enthalpy at 0 K: -1.525 eV per atom
crystal system: monoclinic

abc: 7.080 4.089 7.080
angles: 90.00 109.46 90.00
Fractional positions:
Y  0.000  0.000  0.000
Er  0.000  0.500  0.500
Er  0.500  0.000  0.500
Tm  0.500  0.500  0.000
As  0.252  0.000  0.750
As  0.252  0.500  0.252
As  0.748  0.000  0.250
As  0.748  0.500  0.748

***

Entry 7:
The following is a PBE-GGA calculation of an optimized crystal structure of Y2ErTmAs4, from Alexandria via LeMat-Bulk.

Values from the calculation:
symmetry: No. 10
formation enthalpy at 0 K: -1.535 eV per atom
crystal system: monoclinic

abc: 7.097 4.099 7.098
angles: 90.00 109.46 90.00
Fractional positions:
Y  0.000  0.000  0.000
Y  0.500  0.500  0.000
Er  0.000  0.500  0.500
Tm  0.500  0.000  0.500
As  0.249  0.000  0.747
As  0.252  0.500  0.254
As  0.748  0.500  0.746
As  0.751  0.000  0.253

***

Entry 8:
The following is a PBE-GGA calculation of an optimized crystal structure of Y3ErTm2As6, from Alexandria via LeMat-Bulk.

Values from the calculation:
symmetry: No. 12
formation enthalpy at 0 K: -1.533 eV per atom
crystal system: monoclinic

abc: 7.096 7.096 7.095
angles: 99.58 99.58 119.99
Fractional positions:
Y  0.000  0.000  0.000
Y  0.333  0.667  0.000
Y  0.667  0.333  0.000
Er  0.500  0.500  0.500
Tm  0.167  0.833  0.500
Tm  0.833  0.167  0.500
As  0.084  0.418  0.254
As  0.248  0.248  0.746
As  0.418  0.084  0.254
As  0.582  0.916  0.746
As  0.752  0.752  0.254
As  0.916  0.582  0.746

***

Entry 9:
The following is a PBE-GGA calculation of an optimized crystal structure of ErTm2ZrAs4, from Alexandria via LeMat-Bulk.

Values from the calculation:
symmetry: No. 10
formation enthalpy at 0 K: -1.412 eV per atom
crystal system: monoclinic

abc: 6.943 4.005 6.944
angles: 90.00 109.30 90.00
Fractional positions:
Er  0.000  0.000  0.000
Tm  0.500  0.000  0.500
Tm  0.500  0.500  0.000
Zr  0.000  0.500  0.500
As  0.244  0.000  0.743
As  0.247  0.500  0.255
As  0.753  0.500  0.745
As  0.756  0.000  0.257

***

Entry 10:
The following is a PBE-GGA calculation of an optimized crystal structure of ErU2As3, from Alexandria via LeMat-Bulk.

Values from the calculation:
symmetry: No. 14
formation enthalpy at 0 K: -0.981 eV per atom
crystal system: monoclinic

abc: 5.772 12.259 8.152
angles: 90.00 90.06 90.00
Fractional positions:
Er  0.250  0.083  0.124
Er  0.250  0.417  0.624
Er  0.750  0.583  0.376
Er  0.750  0.917  0.876
U  0.249  0.083  0.624
U  0.249  0.417  0.124
U  0.251  0.750  0.125
U  0.251  0.750  0.625
U  0.749  0.250  0.375
U  0.749  0.250  0.875
U  0.751  0.583  0.876
U  0.751  0.917  0.376
As  0.249  0.249  0.874
As  0.249  0.251  0.374
As  0.250  0.583  0.375
As  0.250  0.917  0.875
As  0.251  0.583  0.873
As  0.251  0.917  0.373
As  0.749  0.083  0.627
As  0.749  0.417  0.127
As  0.750  0.083  0.125
As  0.750  0.417  0.625
As  0.751  0.749  0.626
As  0.751  0.751  0.126

***

Entry 11:
The following is a PBE-GGA calculation of an optimized crystal structure of Er5UAs6, from Alexandria via LeMat-Bulk.

Values from the calculation:
symmetry: No. 12
formation enthalpy at 0 K: -1.384 eV per atom
crystal system: monoclinic

abc: 7.064 7.064 7.059
angles: 99.59 99.59 120.03
Fractional positions:
Er  0.000  0.000  0.000
Er  0.166  0.834  0.500
Er  0.332  0.668  0.000
Er  0.668  0.332  0.000
Er  0.834  0.166  0.500
U  0.500  0.500  0.500
As  0.087  0.417  0.251
As  0.253  0.253  0.748
As  0.417  0.087  0.251
As  0.583  0.913  0.749
As  0.747  0.747  0.252
As  0.913  0.583  0.749

***

Entry 12:
The following is a PBE-GGA calculation of an optimized crystal structure of ErUAs2, from Alexandria via LeMat-Bulk.

Values from the calculation:
symmetry: No. 166
E above lowest polymorph: 0.000 eV/atom
formation enthalpy at 0 K: -1.128 eV per atom
crystal system: trigonal

abc: 4.052 4.052 20.281
angles: 90.00 90.00 120.00
Fractional positions:
Er  0.000  0.000  0.000
Er  0.333  0.667  0.667
Er  0.667  0.333  0.333
U  0.000  0.000  0.500
U  0.333  0.667  0.167
U  0.667  0.333  0.833
As  0.000  0.000  0.250
As  0.000  0.000  0.750
As  0.333  0.667  0.416
As  0.333  0.667  0.917
As  0.667  0.333  0.083
As  0.667  0.333  0.584

***

DFT total energy (computed, eV per formula unit): -73.40 -53.97 -77.33 -50.74 -79.31 -50.86 -52.84 -79.19 -51.95 -46.97 -78.60 -29.66
Fermi-level density of states (computed, states/eV/f.u.): 1.26 7.91 1.87 1.08 1.89 1.07 1.05 1.90 1.39 12.29 8.73 3.49